Below is a relaxed Ga2NiAgPb crystal, with properties calculated at the PBE level.

Its energy of formation is 1.162 eV per atom.

It has space group P4/mmm (No. 123), with a = 5.4487 Å, b = 5.4487 Å, c = 5.3107 Å, α = 90.00°, β = 90.00° and γ = 90.00°. The inequivalent atoms are Ga at (0.0000, 0.5000, 0.0000), Ni at (0.0000, 0.0000, 0.5000), Ag at (0.5000, 0.5000, 0.5000) and Pb at (0.5000, 0.5000, 0.0000).

Below is a relaxed PmGaNiAg crystal, with properties calculated at the PBE level.

Its energy of formation is -0.224 eV per atom.

It has space group F-43m (No. 216), with a = 6.7260 Å, b = 6.7260 Å, c = 6.7260 Å, α = 90.00°, β = 90.00° and γ = 90.00°. The inequivalent atoms are Pm at (0.0000, 0.0000, 0.0000), Ga at (0.0000, 0.0000, 0.5000), Ni at (0.2500, 0.2500, 0.2500) and Ag at (0.2500, 0.2500, 0.7500).

Below is a relaxed RbGaNi2Ag crystal, with properties calculated at the PBE level.

Its energy of formation is 1.852 eV per atom.

It has space group P4/mmm (No. 123), with a = 4.7502 Å, b = 4.7502 Å, c = 5.7176 Å, α = 90.00°, β = 90.00° and γ = 90.00°. The inequivalent atoms are Rb at (0.0000, 0.0000, 0.0000), Ga at (0.0000, 0.0000, 0.5000), Ni at (0.0000, 0.5000, 0.0000) and Ag at (0.5000, 0.5000, 0.5000).